DFT (PBE) results for crystalline NiPtW at its relaxed geometry.

Unit cell a=4.675 b=4.675 c=4.675 alpha=145.84 beta=131.82 gamma=60.38
Atoms (fractional coordinates):
Ni1 0.000 0.000 0.000
Pt1 0.670 0.670 0.000
W1 0.342 0.342 0.000

## Properties
ΔE_f	-23	kJ/mol of atoms
N(E_F)	1.8	states/eV/f.u.
E_tot	-25.49	eV per formula unit
distance to the lowest polymorph of the same formula	0.0000	eV per atom